Ni2SnPbO6 | PBE+U | relaxed

Calculated values
Final energy (hartree per atom): -0.1999
Space group: No. 146
Density of states at the Fermi level (states/eV/atom): 0.0100
Crystal system: trigonal

Cell: 5.686 5.686 5.686 Å, 56.31 56.31 56.31°
Element x y z (fractional)
Ni: 0.000 0.000 0.000
Ni: 0.496 0.496 0.496
Sn: 0.704 0.704 0.704
Pb: 0.209 0.209 0.209
O: 0.103 0.788 0.401
O: 0.298 0.622 0.881
O: 0.401 0.103 0.788
O: 0.622 0.881 0.298
O: 0.788 0.401 0.103
O: 0.881 0.298 0.622